Tl3Co2OsO6: relaxed, PBE with a Hubbard U.

Calculated values
Total DFT energy (no corrections) ... -5.488 eV per atom
Size of the total moment ... 1.951 μB per formula unit

Cell: 5.2579 9.2880 7.0495 Å, 90.00 105.92 90.00°
Closest atoms and distances in Å follow each position.
Space group C2/m (No. 12)
One atom of each set of equivalent atoms:
Tl 0.0000 0.0000 0.0000 x2  4 O 2.93, 6 Tl 3.06-3.08
Tl 0.0000 0.3321 0.0000 x4  4 O 2.86-2.90, 6 Tl 3.04-3.12
Co 0.0000 0.3325 0.5000 x4  6 O 1.96-2.02
Os 0.0000 0.0000 0.5000 x2  6 O 1.99-2.06
O 0.1150 0.1737 0.3606 x8  2 Co 1.96-1.99, 1 Os 2.06
O 0.1147 0.5000 0.3608 x4  1 Os 1.99, 2 Co 2.02